1.
First-principles (meta-GGA SCAN) data for a PBEsol-optimized structure of TaBe2Ru2, as listed in the Alexandria database.

Structure (extended XYZ):
```
10
Lattice="-0.675 -1.655 2.281 2.494 -5.076 -2.946 5.678 1.277 2.606" Properties=species:S:1:pos:R:3 pbc="T T T"
Ru 3.909 -0.843 2.385
Ru 6.040 -3.182 1.318
Ru 3.588 -4.611 -0.444
Ru 1.458 -2.271 0.624
Be 5.959 -0.811 1.173
Be 5.710 -3.686 -0.986
Be 2.214 -2.987 -1.513
Be 2.462 -0.113 0.646
Ta 0.000 0.000 0.000
Ta 4.086 -1.899 -0.170
```

Computed properties:
magnetization	0.0	μB/cell
calculated volume	11.78	Å³ per atom
crystal system	tetragonal
theoretical density	11.31	Mg/m³
E_form	-0.52	eV/atom
DOS at the Fermi energy	1.49	states/eV/f.u.

2.
First-principles (meta-GGA SCAN) data for a PBEsol-optimized structure of CaSc2Ir, as listed in the Alexandria database.

Structure (extended XYZ):
```
4
Lattice="-0.221 -3.443 0.524 4.579 0.092 2.541 -4.530 2.467 2.676" Properties=species:S:1:pos:R:3 pbc="T T T"
Sc 1.258 -1.365 3.181
Sc -1.430 0.481 2.560
Ca -0.111 -1.722 0.262
Ir 2.290 0.046 1.270
```

Computed properties:
magnetization	0.4	μB/cell
calculated volume	22.32	Å³ per atom
crystal system	orthorhombic
theoretical density	5.99	Mg/m³
E_form	-0.48	eV/atom
DOS at the Fermi energy	2.93	states/eV/f.u.

3.
First-principles (meta-GGA SCAN) data for a PBEsol-optimized structure of Rb3TaSi, as listed in the Alexandria database.

Structure (extended XYZ):
```
5
Lattice="-3.153 5.544 -1.982 -2.340 -3.243 -5.349 -5.402 -1.831 3.474" Properties=species:S:1:pos:R:3 pbc="T T T"
Si -5.448 0.235 -1.929
Rb -1.170 -1.622 -2.674
Rb -2.701 -0.916 1.737
Rb -1.577 2.772 -0.991
Ta 0.000 0.000 0.000
```

Computed properties:
magnetization	7.8	μB/cell
calculated volume	59.58	Å³ per atom
crystal system	cubic
theoretical density	2.59	Mg/m³
DOS at the Fermi energy	2.49	states/eV/f.u.
formation energy from raw total energies	1.800	eV/atom